Record 1
The following is a PBE calculation of an optimized crystal structure of Ti3CS, from Alexandria via LeMat-Bulk.

## Properties
- space-group type = Cmc2_1
- excess energy over the best structure of this formula in the dataset (kJ per mole of atoms) = 27.00
- spin magnetization (μB per formula unit) = 0.00

abc: 3.292 5.703 7.681
angles: 90.00 102.37 90.00
Sites, in units of the cell vectors:
Ti 0.914 0.369 0.829
Ti 0.086 0.869 0.171
Ti 0.580 0.276 0.161
Ti 0.420 0.776 0.839
Ti 0.751 0.664 0.501
Ti 0.249 0.164 0.499
C 0.337 0.487 0.673
C 0.663 0.987 0.327
S 0.851 0.999 0.702
S 0.149 0.499 0.298

=====

Record 2
The following is a PBE calculation of an optimized crystal structure of Ti8C3S2, from Alexandria via LeMat-Bulk.

## Properties
- space-group type = C2/m
- spin magnetization (μB per formula unit) = 0.00
- uncorrected energy (eV/atom) = -8.437

abc: 5.477 6.300 6.537
angles: 118.81 105.96 90.00
Sites, in units of the cell vectors:
Ti 0.907 0.599 0.197
Ti 0.093 0.401 0.803
Ti 0.900 0.102 0.204
Ti 0.100 0.898 0.796
Ti 0.603 0.653 0.791
Ti 0.603 0.138 0.791
Ti 0.397 0.862 0.209
Ti 0.397 0.347 0.209
C 0.500 0.000 0.000
C 0.000 0.245 0.000
C 0.000 0.755 0.000
S 0.326 0.256 0.513
S 0.674 0.744 0.487

=====

Record 3
The following is a PBE calculation of an optimized crystal structure of Ti3CS2, from Alexandria via LeMat-Bulk.

## Properties
- space-group type = Immm
- spin magnetization (μB per formula unit) = 0.00
- uncorrected energy (eV/atom) = -8.033

abc: 4.638 6.536 6.177
angles: 105.34 112.05 90.00
Sites, in units of the cell vectors:
Ti 0.500 0.250 0.000
Ti 0.500 0.750 0.000
Ti 0.122 0.061 0.244
Ti 0.878 0.439 0.756
Ti 0.122 0.561 0.244
Ti 0.878 0.939 0.756
C 0.000 0.750 0.000
C 0.000 0.250 0.000
S 0.676 0.588 0.352
S 0.676 0.088 0.352
S 0.324 0.912 0.648
S 0.324 0.412 0.648

=====

Record 4
The following is a PBE calculation of an optimized crystal structure of Ti2CS, from Alexandria via LeMat-Bulk.

## Properties
- space-group type = P6_3/mmc
- excess energy over the best structure of this formula in the dataset (kJ per mole of atoms) = 0.00
- spin magnetization (μB per formula unit) = 0.00

abc: 3.204 3.204 11.266
angles: 90.00 90.00 120.00
Sites, in units of the cell vectors:
Ti 0.333 0.667 0.401
Ti 0.667 0.333 0.901
Ti 0.667 0.333 0.599
Ti 0.333 0.667 0.099
C 0.000 0.000 0.500
C 0.000 0.000 0.000
S 0.667 0.333 0.250
S 0.333 0.667 0.750

=====

Record 5
The following is a PBE calculation of an optimized crystal structure of TiC2S, from Alexandria via LeMat-Bulk.

## Properties
- space-group type = I-42d
- spin magnetization (μB per formula unit) = 0.00
- uncorrected energy (eV/atom) = -6.795

abc: 4.886 4.886 5.016
angles: 60.85 60.85 90.00
Sites, in units of the cell vectors:
S 0.500 0.500 0.000
S 0.250 0.750 0.500
C 0.556 0.125 0.250
C 0.194 0.625 0.250
C 0.375 0.444 0.750
C 0.875 0.806 0.750
Ti 0.000 0.000 0.000
Ti 0.750 0.250 0.500

=====

Record 6
The following is a PBE calculation of an optimized crystal structure of TiCS3, from Alexandria via LeMat-Bulk.

## Properties
- space-group type = Pm-3m
- excess energy over the best structure of this formula in the dataset (kJ per mole of atoms) = 39.29
- spin magnetization (μB per formula unit) = 0.59

abc: 4.675 4.675 4.675
angles: 90.00 90.00 90.00
Each line ends with the local moment (μB).
Sites, in units of the cell vectors:
S 0.000 0.500 0.000  -0.25
S 0.000 0.000 0.500  -0.30
S 0.500 0.000 0.000  -0.21
C 0.500 0.500 0.500  0.78
Ti 0.000 0.000 0.000  0.17

=====

Record 7
The following is a PBE calculation of an optimized crystal structure of Ti2CS, from Alexandria via LeMat-Bulk.

## Properties
- space-group type = R-3m
- excess energy over the best structure of this formula in the dataset (kJ per mole of atoms) = 10.13
- spin magnetization (μB per formula unit) = 0.00

abc: 3.227 3.227 5.965
angles: 105.71 90.00 120.00
Sites, in units of the cell vectors:
Ti 0.269 0.038 0.307
Ti 0.731 0.962 0.693
C 0.000 0.500 0.500
S 0.500 0.500 0.000

=====

Record 8
The following is a PBE calculation of an optimized crystal structure of Ti2CS, from Alexandria via LeMat-Bulk.

## Properties
- space-group type = R3m
- excess energy over the best structure of this formula in the dataset (kJ per mole of atoms) = 4.41
- spin magnetization (μB per formula unit) = 0.00

abc: 3.182 3.182 6.000
angles: 74.63 74.63 60.00
Sites, in units of the cell vectors:
Ti 0.066 0.066 0.803
Ti 0.266 0.266 0.202
C 0.669 0.669 0.993
S 0.499 0.499 0.502

=====

Record 9
The following is a PBE calculation of an optimized crystal structure of Ti5CS4, from Alexandria via LeMat-Bulk.

## Properties
- space-group type = I4/m
- spin magnetization (μB per formula unit) = 0.00
- uncorrected energy (eV/atom) = -7.715

abc: 4.759 6.022 6.022
angles: 81.02 66.72 66.72
Sites, in units of the cell vectors:
Ti 0.902 0.346 0.852
Ti 0.248 0.852 0.654
Ti 0.754 0.148 0.346
Ti 0.100 0.654 0.148
Ti 0.501 0.000 0.000
C 0.001 0.000 0.000
S 0.409 0.403 0.781
S 0.812 0.781 0.597
S 0.190 0.219 0.403
S 0.593 0.597 0.219

=====

Record 10
The following is a PBE calculation of an optimized crystal structure of Ti4C2S, from Alexandria via LeMat-Bulk.

## Properties
- space-group type = Cmcm
- spin magnetization (μB per formula unit) = 0.00
- uncorrected energy (eV/atom) = -8.698

abc: 3.167 5.371 10.677
angles: 90.00 90.00 107.15
Sites, in units of the cell vectors:
C 0.135 0.271 0.437
C 0.865 0.729 0.937
C 0.135 0.271 0.063
C 0.865 0.729 0.563
S 0.609 0.218 0.750
S 0.391 0.782 0.250
Ti 0.765 0.529 0.110
Ti 0.765 0.529 0.390
Ti 0.235 0.471 0.890
Ti 0.235 0.471 0.610
Ti 0.932 0.864 0.750
Ti 0.068 0.136 0.250
Ti 0.500 0.000 0.000
Ti 0.500 0.000 0.500